Entry from OQMD via LeMat-Bulk: Hf2AlInCu2Pt2 after structural relaxation (PBE).

Total magnetic moment: 0.00 μB per cell
Space group: P-4m2
Total energy: -6.4017 eV/atom

Lattice parameters (Å, degrees): 4.536 4.536 6.444 90.00 90.00 90.00
Element x y z (fractional)
Cu: 0.000 0.500 0.762
Cu: 0.500 0.000 0.238
In: 0.500 0.500 0.500
Al: 0.000 0.000 0.000
Pt: 0.000 0.500 0.232
Pt: 0.500 0.000 0.768
Hf: 0.500 0.500 0.000
Hf: 0.000 0.000 0.500